Cu2WBr: optimized geometry, PBE-GGA.

Values from the calculation:
* uncorrected energy: -4.72 eV/atom
* relative energy among the computed polymorphs: 456.3 meV per atom
* energy relative to the elements, uncorrected: 0.9839 eV per atom

a = 2.8993 Å, b = 4.5373 Å, c = 4.7209 Å
α = 90.00°, β = 90.00°, γ = 90.00°
Closest atoms and distances in Å follow each position.
Sites, in units of the cell vectors:
Cu: 0.0000 0.0000 0.0000  6 Cu 2.69-2.90, 4 Br 2.77
Cu: 0.5000 0.5000 0.0000  6 Cu 2.69-2.90, 4 W 2.77
W: 0.0000 0.5000 0.5000  4 Br 2.69, 4 Cu 2.77, 2 W 2.90
Br: 0.5000 0.0000 0.5000  4 W 2.69, 4 Cu 2.77, 2 Br 2.90